*P*
The following is a PBE calculation of a relaxed LiGe2 crystal, from Alexandria via LeMat-Bulk.

Output
volume = 223.1 Å³/cell
M_tot = 0.00 μB/cell

Cell: 8.5284 6.3931 4.3192 Å, 90.00 108.64 90.00°
Space group C2/m (No. 12)
Unique sites:
Li (0.1706, 0.0000, 0.4233)
Ge (0.0980, 0.2964, 0.8262)

***

*Q*
The following is a PBE calculation of a relaxed LiGe2 crystal, from Alexandria via LeMat-Bulk.

Output
volume = 246.7 Å³/cell
M_tot = 0.00 μB/cell

Cell: 3.9031 3.9031 16.1914 Å, 90.00 90.00 90.00°
Space group I4_1/amd (No. 141, origin choice 2)
Unique sites:
Li (0.0000, 0.2500, 0.3750)
Ge (0.0000, 0.2500, 0.7972)

***

Which of them is least stable? Easy: *Q*.

***

*P*
The following is a PBE calculation of a relaxed Li5Ge4 crystal, from Alexandria via LeMat-Bulk.

Output
volume = 304.3 Å³/cell
M_tot = 0.00 μB/cell

Cell: 9.2983 4.2242 8.8245 Å, 90.00 118.61 90.00°
Space group C2/m (No. 12)
Unique sites:
Li (0.0000, 0.0000, 0.0000)
Li (0.0202, 0.5000, 0.2054)
Li (0.1706, 0.5000, 0.6010)
Ge (0.0303, 0.0000, 0.3749)
Ge (0.2494, 0.0000, 0.8976)

***

*Q*
The following is a PBE calculation of a relaxed Li5Ge4 crystal, from Alexandria via LeMat-Bulk.

Output
volume = 294.3 Å³/cell
M_tot = 0.00 μB/cell

Cell: 9.0324 3.8758 8.9591 Å, 90.00 110.22 90.00°
Space group C2/m (No. 12)
Unique sites:
Li (0.0000, 0.0000, 0.0000)
Li (0.0090, 0.0000, 0.6621)
Li (0.1611, 0.5000, 0.2209)
Ge (0.1749, 0.5000, 0.9030)
Ge (0.1793, 0.5000, 0.5506)

***

Which of them is least stable? Easy: *Q*.

***

*P*
The following is a PBE calculation of a relaxed Li8Ge3 crystal, from Alexandria via LeMat-Bulk.

Output
volume = 498.6 Å³/cell
M_tot = 0.00 μB/cell

Cell: 4.4102 4.4102 29.6000 Å, 90.00 90.00 120.00°
Space group R-3m (No. 166, hexagonal axes)
Unique sites:
Li (0.0000, 0.0000, 0.0890)
Li (0.0000, 0.0000, 0.1793)
Li (0.0000, 0.0000, 0.2748)
Li (0.0000, 0.0000, 0.3638)
Ge (0.0000, 0.0000, 0.0000)
Ge (0.0000, 0.0000, 0.4574)

***

*Q*
The following is a PBE calculation of a relaxed Li8Ge3 crystal, from Alexandria via LeMat-Bulk.

Output
volume = 638.6 Å³/cell
M_tot = 0.00 μB/cell

Cell: 7.6935 7.6935 12.4578 Å, 90.00 90.00 120.00°
Space group R-3 (No. 148, hexagonal axes)
Unique sites:
Li (0.0000, 0.0000, 0.0942)
Li (0.0547, 0.5286, 0.2827)
Ge (0.0000, 0.5000, 0.5000)

***

Which of them is least stable? Easy: *Q*.

***

*P*
The following is a PBE calculation of a relaxed Li3Ge2 crystal, from Alexandria via LeMat-Bulk.

Output
volume = 322.5 Å³/cell
M_tot = 0.00 μB/cell

Cell: 15.5699 4.8058 4.3099 Å, 90.00 90.00 90.00°
Space group Cmcm (No. 63)
Unique sites:
Li (0.0000, 0.2122, 0.2500)
Li (0.1998, 0.1660, 0.2500)
Ge (0.1151, 0.3342, 0.7500)

***

*Q*
The following is a PBE calculation of a relaxed Li3Ge2 crystal, from Alexandria via LeMat-Bulk.

Output
volume = 652.1 Å³/cell
M_tot = 0.00 μB/cell

Cell: 9.3298 14.1785 4.9294 Å, 90.00 90.00 90.00°
Space group Fdd2 (No. 43)
Unique sites:
Li (0.0000, 0.0000, 0.0000)
Li (0.0020, 0.4005, 0.9998)
Ge (0.0010, 0.2926, 0.5024)

***

Which of them is least stable? Easy: *Q*.

***

*P*
The following is a PBE calculation of a relaxed LiLuGe2 crystal, from Alexandria via LeMat-Bulk.

Output
volume = 225.5 Å³/cell
M_tot = 0.00 μB/cell

Cell: 4.2236 4.2236 14.5971 Å, 90.00 90.00 120.00°
Space group R-3m (No. 166, hexagonal axes)
Unique sites:
Li (0.0000, 0.0000, 0.0000)
Lu (0.0000, 0.0000, 0.5000)
Ge (0.0000, 0.0000, 0.2756)

***

*Q*
The following is a PBE calculation of a relaxed LiLuGe2 crystal, from Alexandria via LeMat-Bulk.

Output
volume = 74.0 Å³/cell
M_tot = 0.00 μB/cell

Cell: 4.2607 4.2607 4.0780 Å, 90.00 90.00 90.00°
Space group P4/mmm (No. 123)
Unique sites:
Li (0.0000, 0.0000, 0.0000)
Lu (0.5000, 0.5000, 0.0000)
Ge (0.0000, 0.5000, 0.5000)

***

*R*
The following is a PBE calculation of a relaxed LiLuGe2 crystal, from Alexandria via LeMat-Bulk.

Output
volume = 313.1 Å³/cell
M_tot = 0.00 μB/cell

Cell: 6.7903 6.7903 6.7903 Å, 90.00 90.00 90.00°
Space group Fm-3m (No. 225)
Unique sites:
Li (0.0000, 0.0000, 0.0000)
Lu (0.0000, 0.0000, 0.5000)
Ge (0.2500, 0.2500, 0.2500)

***

Which of them is least stable? Easy: *R*.

***

*P*
The following is a PBE calculation of a relaxed Li3MgGe crystal, from Alexandria via LeMat-Bulk.

Output
volume = 115.0 Å³/cell
M_tot = 0.00 μB/cell

Cell: 4.8633 4.8633 4.8633 Å, 90.00 90.00 90.00°
Space group Pm-3m (No. 221)
Unique sites:
Li (0.0000, 0.0000, 0.5000)
Mg (0.0000, 0.0000, 0.0000)
Ge (0.5000, 0.5000, 0.5000)

***

*Q*
The following is a PBE calculation of a relaxed Li3MgGe crystal, from Alexandria via LeMat-Bulk.

Output
volume = 110.0 Å³/cell
M_tot = 0.00 μB/cell

Cell: 4.7920 4.7920 4.7920 Å, 90.00 90.00 90.00°
Space group Pm-3m (No. 221)
Unique sites:
Li (0.0000, 0.0000, 0.5000)
Mg (0.5000, 0.5000, 0.5000)
Ge (0.0000, 0.0000, 0.0000)

***

*R*
The following is a PBE calculation of a relaxed Li3MgGe crystal, from Alexandria via LeMat-Bulk.

Output
volume = 192.8 Å³/cell
M_tot = 0.00 μB/cell

Cell: 4.7739 5.6319 7.2328 Å, 90.00 97.42 90.00°
Space group P2_1/m (No. 11)
Unique sites:
Li (0.1967, 0.0264, 0.1694)
Li (0.2415, 0.7500, 0.5361)
Mg (0.2962, 0.2500, 0.7786)
Ge (0.3221, 0.7500, 0.8872)

***

Which of them is least stable? Easy: *P*.

***

*P*
The following is a PBE calculation of a relaxed LiMg3Ge crystal, from Alexandria via LeMat-Bulk.

Output
volume = 113.0 Å³/cell
M_tot = 0.00 μB/cell

Cell: 4.8346 4.8346 4.8346 Å, 90.00 90.00 90.00°
Space group Pm-3m (No. 221)
Unique sites:
Li (0.0000, 0.0000, 0.0000)
Mg (0.0000, 0.0000, 0.5000)
Ge (0.5000, 0.5000, 0.5000)

***

*Q*
The following is a PBE calculation of a relaxed LiMg3Ge crystal, from Alexandria via LeMat-Bulk.

Output
volume = 135.4 Å³/cell
M_tot = 0.00 μB/cell

Cell: 5.1353 5.1353 5.1353 Å, 90.00 90.00 90.00°
Space group Pm-3m (No. 221)
Unique sites:
Li (0.0000, 0.0000, 0.0000)
Mg (0.0000, 0.5000, 0.5000)
Ge (0.5000, 0.5000, 0.5000)

***

Which of them is least stable? Easy: *P*.

***

*P*
The following is a PBE calculation of a relaxed Li2MgGe2 crystal, from Alexandria via LeMat-Bulk.

Output
volume = 170.4 Å³/cell
M_tot = 0.00 μB/cell

Cell: 7.6941 7.6941 2.8786 Å, 90.00 90.00 90.00°
Space group P4/mbm (No. 127)
Unique sites:
Li (0.1141, 0.3859, 0.0000)
Mg (0.0000, 0.0000, 0.0000)
Ge (0.1840, 0.6840, 0.5000)

***

*Q*
The following is a PBE calculation of a relaxed Li2MgGe2 crystal, from Alexandria via LeMat-Bulk.

Output
volume = 195.8 Å³/cell
M_tot = 0.00 μB/cell

Cell: 4.3427 7.5861 5.9430 Å, 90.00 90.00 90.00°
Space group Cmmm (No. 65)
Unique sites:
Li (0.0000, 0.1661, 0.0000)
Mg (0.0000, 0.0000, 0.5000)
Ge (0.0000, 0.5000, 0.2046)

***

Which of them is least stable? Easy: *Q*.

***

*P*
The following is a PBE calculation of a relaxed Li2Mg2Ge crystal, from Alexandria via LeMat-Bulk.

Output
volume = 208.6 Å³/cell
M_tot = 0.00 μB/cell

Cell: 7.0737 7.0737 4.1683 Å, 90.00 90.00 90.00°
Space group P4/mbm (No. 127)
Unique sites:
Li (0.1592, 0.3408, 0.0000)
Mg (0.1448, 0.6448, 0.5000)
Ge (0.0000, 0.0000, 0.5000)

***

*Q*
The following is a PBE calculation of a relaxed Li2Mg2Ge crystal, from Alexandria via LeMat-Bulk.

Output
volume = 204.0 Å³/cell
M_tot = 0.00 μB/cell

Cell: 3.5368 3.5368 16.3089 Å, 90.00 90.00 90.00°
Space group I4/mmm (No. 139)
Unique sites:
Li (0.0000, 0.5000, 0.2500)
Mg (0.0000, 0.0000, 0.0987)
Ge (0.0000, 0.0000, 0.5000)

***

Which of them is least stable? Easy: *Q*.

***

*P*
The following is a PBE calculation of a relaxed Li4MgGe crystal, from Alexandria via LeMat-Bulk.

Output
volume = 198.3 Å³/cell
M_tot = 0.00 μB/cell

Cell: 4.5129 7.8162 5.6220 Å, 90.00 90.01 90.00°
Space group Cm (No. 8)
Unique sites:
Li (0.0000, 0.1667, 0.0000)
Li (0.9999, 0.1666, 0.4383)
Mg (0.0009, 0.5000, 0.7189)
Ge (0.0001, 0.5000, 0.2194)

***

*Q*
The following is a PBE calculation of a relaxed Li4MgGe crystal, from Alexandria via LeMat-Bulk.

Output
volume = 405.3 Å³/cell
M_tot = 0.00 μB/cell

Cell: 4.4816 13.3053 6.7964 Å, 90.00 90.00 90.00°
Space group Cmcm (No. 63)
Unique sites:
Li (0.0000, 0.0325, 0.2500)
Li (0.0000, 0.1655, 0.5193)
Li (0.0000, 0.3049, 0.2500)
Mg (0.0000, 0.5000, 0.0000)
Ge (0.0000, 0.3317, 0.7500)

***

Which of them is least stable? Easy: *Q*.

***

*P*
The following is a PBE calculation of a relaxed Li3GeMo crystal, from Alexandria via LeMat-Bulk.

Output
volume = 84.0 Å³/cell
M_tot = 0.00 μB/cell

Cell: 4.3802 4.3802 4.3802 Å, 90.00 90.00 90.00°
Space group Pm-3m (No. 221)
Unique sites:
Li (0.0000, 0.0000, 0.5000)
Ge (0.0000, 0.0000, 0.0000)
Mo (0.5000, 0.5000, 0.5000)

***

*Q*
The following is a PBE calculation of a relaxed Li3GeMo crystal, from Alexandria via LeMat-Bulk.

Output
volume = 117.7 Å³/cell
M_tot = 4.10 μB/cell

Cell: 4.9001 4.9001 4.9001 Å, 90.00 90.00 90.00°
Space group Pm-3m (No. 221)
Unique sites:
Li (0.0000, 0.0000, 0.5000)
Ge (0.5000, 0.5000, 0.5000)
Mo (0.0000, 0.0000, 0.0000)

***

Which of them is least stable? Easy: *Q*.

***

*P*
The following is a PBE calculation of a relaxed Li2GeN crystal, from Alexandria via LeMat-Bulk.

Output
volume = 192.9 Å³/cell
M_tot = 0.00 μB/cell

Cell: 5.7782 5.7782 5.7782 Å, 90.00 90.00 90.00°
Space group Fm-3m (No. 225)
Unique sites:
Li (0.2500, 0.2500, 0.2500)
Ge (0.0000, 0.0000, 0.0000)
N (0.0000, 0.0000, 0.5000)

***

*Q*
The following is a PBE calculation of a relaxed Li2GeN crystal, from Alexandria via LeMat-Bulk.

Output
volume = 187.5 Å³/cell
M_tot = 0.00 μB/cell

Cell: 3.4218 3.4218 16.0118 Å, 90.00 90.00 90.00°
Space group I-42d (No. 122)
Unique sites:
Li (0.1940, 0.7500, 0.1250)
Ge (0.0000, 0.0000, 0.5000)
N (0.0000, 0.0000, 0.0000)

***

Which of them is least stable? Easy: *P*.